# 1
# PBE-GGA LiPuPt, optimized geometry
data_LiPuPt
_chemical_formula_sum 'Li2 Pu2 Pt2'
_cell_length_a 4.0003
_cell_length_b 4.0003
_cell_length_c 7.5975
_cell_angle_alpha 90.00
_cell_angle_beta 90.00
_cell_angle_gamma 90.00
_space_group_name_H-M_alt 'P 1'
_space_group_IT_number 1
_space_group_name_Hall 'P 1'
loop_
_atom_site_label
_atom_site_type_symbol
_atom_site_fract_x
_atom_site_fract_y
_atom_site_fract_z
_atom_site_occupancy
Pu1 Pu 0.0000 0.5000 0.8457 1
Pu2 Pu 0.5000 0.0000 0.1543 1
Pt1 Pt 0.5000 0.0000 0.7590 1
Pt2 Pt 0.0000 0.5000 0.2410 1
Li1 Li 0.5000 0.5000 0.5000 1
Li2 Li 0.0000 0.0000 0.5000 1
# - crystal system = tetragonal
# - formation energy (eV/atom) = -0.5953
# - energy above the most stable polymorph in this dataset (kJ per mole of atoms) = 0.0

=====

# 2
# PBE-GGA Li2Mg, optimized geometry
data_Li2Mg
_chemical_formula_sum 'Li4 Mg2'
_cell_length_a 5.2366
_cell_length_b 5.2366
_cell_length_c 5.0169
_cell_angle_alpha 90.00
_cell_angle_beta 90.00
_cell_angle_gamma 116.52
_space_group_name_H-M_alt 'P 1'
_space_group_IT_number 1
_space_group_name_Hall 'P 1'
loop_
_atom_site_label
_atom_site_type_symbol
_atom_site_fract_x
_atom_site_fract_y
_atom_site_fract_z
_atom_site_occupancy
Li1 Li 0.9834 0.3123 0.7500 1
Li2 Li 0.6877 0.0166 0.2500 1
Li3 Li 0.3123 0.9834 0.7500 1
Li4 Li 0.0166 0.6877 0.2500 1
Mg1 Mg 0.3453 0.3453 0.2500 1
Mg2 Mg 0.6547 0.6547 0.7500 1
# - crystal system = orthorhombic
# - formation energy (eV/atom) = -0.0309

=====

# 3
# PBE-GGA CaBTe2N, optimized geometry
data_CaBTe2N
_chemical_formula_sum 'Ca1 B1 Te2 N1'
_cell_length_a 5.8928
_cell_length_b 5.8928
_cell_length_c 4.2541
_cell_angle_alpha 90.00
_cell_angle_beta 90.00
_cell_angle_gamma 90.00
_space_group_name_H-M_alt 'P 1'
_space_group_IT_number 1
_space_group_name_Hall 'P 1'
loop_
_atom_site_label
_atom_site_type_symbol
_atom_site_fract_x
_atom_site_fract_y
_atom_site_fract_z
_atom_site_occupancy
B1 B 0.5000 0.5000 0.5000 1
Ca1 Ca 0.0000 0.0000 0.0000 1
Te1 Te 0.5000 0.0000 0.0000 1
Te2 Te 0.0000 0.5000 0.0000 1
N1 N 0.0000 0.0000 0.5000 1
# - crystal system = tetragonal
# - formation energy from raw total energies (meV/atom) = 1649
# - energy above the most stable polymorph in this dataset (kJ per mole of atoms) = 176.2

=====

# 4
# PBE-GGA CeSmHo5Tm2, optimized geometry
data_CeSmHo5Tm2
_chemical_formula_sum 'Ce2 Sm2 Ho10 Tm4'
_cell_length_a 5.6571
_cell_length_b 11.0267
_cell_length_c 9.5314
_cell_angle_alpha 90.00
_cell_angle_beta 90.00
_cell_angle_gamma 104.86
_space_group_name_H-M_alt 'P 1'
_space_group_IT_number 1
_space_group_name_Hall 'P 1'
loop_
_atom_site_label
_atom_site_type_symbol
_atom_site_fract_x
_atom_site_fract_y
_atom_site_fract_z
_atom_site_occupancy
Ho1 Ho 0.4709 0.9418 0.7459 1
Ho2 Ho 0.3936 0.7873 0.0409 1
Ho3 Ho 0.3061 0.6122 0.7148 1
Ho4 Ho 0.2667 0.5334 0.3327 1
Ho5 Ho 0.0131 0.0262 0.0148 1
Ho6 Ho 0.5291 0.0582 0.2459 1
Ho7 Ho 0.6939 0.3878 0.2148 1
Ho8 Ho 0.7333 0.4666 0.8327 1
Ho9 Ho 0.6064 0.2127 0.5409 1
Ho10 Ho 0.9869 0.9738 0.5148 1
Tm1 Tm 0.8646 0.7292 0.2058 1
Tm2 Tm 0.8868 0.7735 0.8225 1
Tm3 Tm 0.1354 0.2708 0.7058 1
Tm4 Tm 0.1132 0.2265 0.3225 1
Sm1 Sm 0.4034 0.8067 0.4237 1
Sm2 Sm 0.5966 0.1933 0.9237 1
Ce1 Ce 0.1936 0.3872 0.0229 1
Ce2 Ce 0.8064 0.6128 0.5229 1
# - crystal system = orthorhombic
# - formation energy (eV/atom) = 0.1767

=====

# 5
# PBE-GGA AlPtO, optimized geometry
data_AlPtO
_chemical_formula_sum 'Al3 Pt3 O3'
_cell_length_a 2.8447
_cell_length_b 2.8447
_cell_length_c 16.5882
_cell_angle_alpha 90.00
_cell_angle_beta 90.00
_cell_angle_gamma 120.00
_space_group_name_H-M_alt 'P 1'
_space_group_IT_number 1
_space_group_name_Hall 'P 1'
loop_
_atom_site_label
_atom_site_type_symbol
_atom_site_fract_x
_atom_site_fract_y
_atom_site_fract_z
_atom_site_occupancy
Pt1 Pt 0.6667 0.3333 0.9398 1
Pt2 Pt 0.0000 0.0000 0.6064 1
Pt3 Pt 0.3333 0.6667 0.2731 1
Al1 Al 0.3333 0.6667 0.7290 1
Al2 Al 0.0000 0.0000 0.0623 1
Al3 Al 0.6667 0.3333 0.3957 1
O1 O 0.6667 0.3333 0.7771 1
O2 O 0.3333 0.6667 0.1105 1
O3 O 0.0000 0.0000 0.4438 1
# - crystal system = trigonal
# - formation energy from raw total energies (meV/atom) = -1766
# - energy above the most stable polymorph in this dataset (kJ per mole of atoms) = 0.0

=====

# 6
# PBE-GGA Cd2SeCl2, optimized geometry
data_Cd2SeCl2
_chemical_formula_sum 'Cd4 Se2 Cl4'
_cell_length_a 5.9553
_cell_length_b 8.1872
_cell_length_c 8.1098
_cell_angle_alpha 122.56
_cell_angle_beta 90.00
_cell_angle_gamma 111.33
_space_group_name_H-M_alt 'P 1'
_space_group_IT_number 1
_space_group_name_Hall 'P 1'
loop_
_atom_site_label
_atom_site_type_symbol
_atom_site_fract_x
_atom_site_fract_y
_atom_site_fract_z
_atom_site_occupancy
Cl1 Cl 0.0084 0.0167 0.7246 1
Cl2 Cl 0.3633 0.7266 0.3604 1
Cl3 Cl 0.6367 0.2734 0.6396 1
Cl4 Cl 0.9916 0.9833 0.2754 1
Cd1 Cd 0.5054 0.0109 0.7653 1
Cd2 Cd 0.1557 0.3114 0.6551 1
Cd3 Cd 0.8443 0.6886 0.3449 1
Cd4 Cd 0.4946 0.9891 0.2347 1
Se1 Se 0.3561 0.7122 0.8418 1
Se2 Se 0.6439 0.2878 0.1582 1
# - crystal system = monoclinic
# - formation energy from raw total energies (meV/atom) = -723

=====

# 7
# PBE-GGA Tb5PdRh4, optimized geometry
data_Tb5PdRh4
_chemical_formula_sum 'Tb5 Pd1 Rh4'
_cell_length_a 3.4335
_cell_length_b 3.4335
_cell_length_c 17.5358
_cell_angle_alpha 90.00
_cell_angle_beta 90.00
_cell_angle_gamma 90.00
_space_group_name_H-M_alt 'P 1'
_space_group_IT_number 1
_space_group_name_Hall 'P 1'
loop_
_atom_site_label
_atom_site_type_symbol
_atom_site_fract_x
_atom_site_fract_y
_atom_site_fract_z
_atom_site_occupancy
Pd1 Pd 0.0000 0.0000 0.0000 1
Rh1 Rh 0.0000 0.0000 0.7983 1
Rh2 Rh 0.0000 0.0000 0.4008 1
Rh3 Rh 0.0000 0.0000 0.2017 1
Rh4 Rh 0.0000 0.0000 0.5992 1
Tb1 Tb 0.5000 0.5000 0.8955 1
Tb2 Tb 0.5000 0.5000 0.5000 1
Tb3 Tb 0.5000 0.5000 0.6984 1
Tb4 Tb 0.5000 0.5000 0.3016 1
Tb5 Tb 0.5000 0.5000 0.1045 1
# - crystal system = tetragonal
# - formation energy (eV/atom) = -0.8512

=====

# 8
# PBE-GGA EuMgAl2, optimized geometry
data_EuMgAl2
_chemical_formula_sum 'Eu1 Mg1 Al2'
_cell_length_a 3.5489
_cell_length_b 3.5489
_cell_length_c 7.3033
_cell_angle_alpha 90.00
_cell_angle_beta 90.00
_cell_angle_gamma 90.00
_space_group_name_H-M_alt 'P 1'
_space_group_IT_number 1
_space_group_name_Hall 'P 1'
loop_
_atom_site_label
_atom_site_type_symbol
_atom_site_fract_x
_atom_site_fract_y
_atom_site_fract_z
_atom_site_occupancy
Al1 Al 0.0000 0.0000 0.2973 1
Al2 Al 0.0000 0.0000 0.7027 1
Mg1 Mg 0.5000 0.5000 0.5000 1
Eu1 Eu 0.5000 0.5000 0.0000 1
# - crystal system = tetragonal
# - formation energy (eV/atom) = -0.1391

=====

# 9
# PBE-GGA CaHg, optimized geometry
data_CaHg
_chemical_formula_sum 'Ca2 Hg2'
_cell_length_a 5.3107
_cell_length_b 5.3107
_cell_length_c 6.3285
_cell_angle_alpha 90.00
_cell_angle_beta 90.00
_cell_angle_gamma 120.00
_space_group_name_H-M_alt 'P 1'
_space_group_IT_number 1
_space_group_name_Hall 'P 1'
loop_
_atom_site_label
_atom_site_type_symbol
_atom_site_fract_x
_atom_site_fract_y
_atom_site_fract_z
_atom_site_occupancy
Ca1 Ca 0.3333 0.6667 0.2500 1
Ca2 Ca 0.6667 0.3333 0.7500 1
Hg1 Hg 0.6667 0.3333 0.2500 1
Hg2 Hg 0.3333 0.6667 0.7500 1
# - crystal system = hexagonal
# - formation energy (eV/atom) = -0.1653

=====

# 10
# PBE-GGA BaMg2CuRh, optimized geometry
data_BaMg2CuRh
_chemical_formula_sum 'Ba1 Mg2 Cu1 Rh1'
_cell_length_a 4.9975
_cell_length_b 4.9975
_cell_length_c 5.1158
_cell_angle_alpha 90.00
_cell_angle_beta 90.00
_cell_angle_gamma 90.00
_space_group_name_H-M_alt 'P 1'
_space_group_IT_number 1
_space_group_name_Hall 'P 1'
loop_
_atom_site_label
_atom_site_type_symbol
_atom_site_fract_x
_atom_site_fract_y
_atom_site_fract_z
_atom_site_occupancy
Mg1 Mg 0.5000 0.0000 0.0000 1
Mg2 Mg 0.0000 0.5000 0.0000 1
Ba1 Ba 0.5000 0.5000 0.5000 1
Rh1 Rh 0.0000 0.0000 0.0000 1
Cu1 Cu 0.0000 0.0000 0.5000 1
# - crystal system = tetragonal
# - formation energy (eV/atom) = -0.1025

=====

Asked for final energy across the records above, the calculation gives -48.14; -11.03; -15.04; -81.79; -60.12; -25.24; -66.26; -19.91; -5.27; -17.07 eV per cell in order.
Asked for total moment across the records above, the calculation gives 5.44; 0.00; 0.02; 0.74; 0.00; 0.00; 0.00; 7.05; 0.00; 0.00 μB per formula unit in order.